[1]
VASP calculation (PBE) on an optimized crystal structure of SrHfCoCl2.

```
SrHfCoCl2
1.0
4.762 0.000 0.000
0.000 5.523 0.000
0.000 0.000 4.762
Hf Cl Co Sr
1 2 1 1
Direct
0.500 0.500 0.500
0.000 0.000 0.500
0.500 0.000 0.000
0.000 0.000 0.000
0.000 0.500 0.000
```

Results
**Total magnetization**: 2.47 Bohr magnetons per cell
**Symmetry**: P4/mmm
**Formation energy (no corrections)**: 0.513 eV per atom
**Crystal system**: tetragonal

[2]
VASP calculation (PBE) on an optimized crystal structure of Hf2TlCoCl.

```
Hf2TlCoCl
1.0
4.819 0.000 0.000
0.000 4.984 0.000
0.000 0.000 4.819
Hf Tl Co Cl
2 1 1 1
Direct
0.000 0.000 0.500
0.500 0.000 0.000
0.000 0.500 0.000
0.000 0.000 0.000
0.500 0.500 0.500
```

Results
**Total magnetization**: 0.00 Bohr magnetons per cell
**Symmetry**: P4/mmm
**Formation energy (no corrections)**: 0.197 eV per atom
**Crystal system**: tetragonal

[3]
VASP calculation (PBE) on an optimized crystal structure of Co2HgCl.

```
Co2HgCl
1.0
5.254 -0.004 0.008
-2.658 4.587 -0.008
0.838 0.521 2.831
Cl Co Hg
1 2 1
Direct
0.500 0.000 0.500
0.000 0.000 0.000
0.000 0.500 0.500
0.500 0.500 0.000
```

Results
**Total magnetization**: 3.77 Bohr magnetons per cell
**Energy relative to the lowest polymorph listed for this composition**: 463 meV per atom
**Symmetry**: C2/m
**Formation energy (no corrections)**: 0.690 eV per atom
**Crystal system**: monoclinic

[4]
VASP calculation (PBE) on an optimized crystal structure of Co2HgCl.

```
Co2HgCl
1.0
-2.924 2.985 -4.092
-4.807 -1.672 -2.882
2.394 0.415 5.320
Co Cl Hg
2 1 1
Direct
0.250 0.750 0.500
0.000 0.000 0.000
0.750 0.250 0.500
0.500 0.500 0.000
```

Results
**Total magnetization**: 3.77 Bohr magnetons per cell
**Energy relative to the lowest polymorph listed for this composition**: 491 meV per atom
**Symmetry**: I-4m2
**Formation energy (no corrections)**: 0.717 eV per atom
**Crystal system**: tetragonal

[5]
VASP calculation (PBE) on an optimized crystal structure of CoHgCl2.

```
CoHgCl2
1.0
-4.368 4.710 -0.914
-3.540 0.190 5.434
5.537 1.000 -3.231
Co Cl Hg
1 2 1
Direct
0.750 0.250 0.500
0.605 0.605 0.000
0.895 0.895 0.000
0.250 0.750 0.500
```

Results
**Total magnetization**: 1.07 Bohr magnetons per cell
**Energy relative to the lowest polymorph listed for this composition**: 142 meV per atom
**Symmetry**: Immm
**Formation energy (no corrections)**: -0.253 eV per atom
**Crystal system**: orthorhombic

[6]
VASP calculation (PBE) on an optimized crystal structure of CoHgCl2.

```
CoHgCl2
1.0
-1.444 -3.491 3.410
-1.893 -2.341 -4.104
2.005 -3.890 -0.715
Cl Co Hg
2 1 1
Direct
0.000 0.000 0.000
0.500 0.500 0.000
0.500 0.000 0.500
0.000 0.500 0.500
```

Results
**Total magnetization**: 2.07 Bohr magnetons per cell
**Energy relative to the lowest polymorph listed for this composition**: 651 meV per atom
**Symmetry**: C2/m
**Formation energy (no corrections)**: 0.256 eV per atom
**Crystal system**: monoclinic

[7]
VASP calculation (PBE) on an optimized crystal structure of CoHgCl2.

```
CoHgCl2
1.0
3.183 0.000 0.000
0.000 3.183 0.000
0.000 0.000 8.294
Cl Co Hg
2 1 1
Direct
0.500 0.500 0.341
0.000 0.000 0.944
0.000 0.000 0.485
0.500 0.500 0.730
```

Results
**Total magnetization**: 2.33 Bohr magnetons per cell
**Energy relative to the lowest polymorph listed for this composition**: 461 meV per atom
**Symmetry**: P4mm
**Formation energy (no corrections)**: 0.066 eV per atom
**Crystal system**: tetragonal

[8]
VASP calculation (PBE) on an optimized crystal structure of CoHgCl2.

```
CoHgCl2
1.0
4.858 -0.009 0.000
-0.516 4.830 0.000
0.000 0.000 3.543
Co Cl Hg
1 2 1
Direct
0.500 0.000 0.500
0.500 0.500 0.000
0.000 0.000 0.000
0.000 0.500 0.500
```

Results
**Total magnetization**: 2.35 Bohr magnetons per cell
**Energy relative to the lowest polymorph listed for this composition**: 796 meV per atom
**Symmetry**: Cmmm
**Formation energy (no corrections)**: 0.401 eV per atom
**Crystal system**: orthorhombic

[9]
VASP calculation (PBE) on an optimized crystal structure of Co3HgCl.

```
Co3HgCl
1.0
4.912 0.000 0.000
0.000 4.912 0.000
0.000 0.000 4.912
Hg Co Cl
1 3 1
Direct
0.000 0.000 0.000
0.000 0.500 0.000
0.500 0.000 0.000
0.000 0.000 0.500
0.500 0.500 0.500
```

Results
**Total magnetization**: 5.96 Bohr magnetons per cell
**Symmetry**: Pm-3m
**Formation energy (no corrections)**: 1.559 eV per atom
**Crystal system**: cubic

[10]
VASP calculation (PBE) on an optimized crystal structure of CoHgCl2.

```
CoHgCl2
1.0
-1.908 -3.205 -0.710
5.497 -3.037 -1.061
0.198 -0.943 3.727
Hg Cl Co
1 2 1
Direct
0.000 0.500 0.500
0.000 0.000 0.000
0.500 0.500 0.000
0.500 0.000 0.500
```

Results
**Total magnetization**: 2.06 Bohr magnetons per cell
**Energy relative to the lowest polymorph listed for this composition**: 668 meV per atom
**Symmetry**: Pmmm
**Formation energy (no corrections)**: 0.273 eV per atom
**Crystal system**: orthorhombic

[11]
VASP calculation (PBE) on an optimized crystal structure of CoHgCl2.

```
CoHgCl2
1.0
-2.849 -0.788 2.748
3.108 -2.187 -1.357
6.033 3.983 7.397
Co Cl Hg
1 2 1
Direct
0.500 0.500 0.250
0.000 0.000 0.096
0.000 0.000 0.404
0.500 0.500 0.750
```

Results
**Total magnetization**: 2.76 Bohr magnetons per cell
**Energy relative to the lowest polymorph listed for this composition**: 139 meV per atom
**Symmetry**: Cmmm
**Formation energy (no corrections)**: -0.256 eV per atom
**Crystal system**: orthorhombic

[12]
VASP calculation (PBE) on an optimized crystal structure of Co2HgCl.

```
Co2HgCl
1.0
-1.232 2.718 0.132
-0.194 -0.289 4.123
5.571 2.504 0.441
Cl Co Hg
1 2 1
Direct
0.500 0.750 0.750
0.000 0.751 0.069
0.000 0.749 0.431
0.500 0.250 0.250
```

Results
**Total magnetization**: 3.55 Bohr magnetons per cell
**Energy relative to the lowest polymorph listed for this composition**: 83 meV per atom
**Symmetry**: Pmmm
**Formation energy (no corrections)**: 0.310 eV per atom
**Crystal system**: orthorhombic

[13]
VASP calculation (PBE) on an optimized crystal structure of CoHg2Cl2.

```
CoHg2Cl2
1.0
4.562 0.000 0.000
0.000 4.562 0.000
2.281 2.281 6.076
Hg Co Cl
2 1 2
Direct
0.610 0.610 0.780
0.390 0.390 0.220
0.000 0.000 0.000
0.750 0.250 0.500
0.250 0.750 0.500
```

Results
**Total magnetization**: 2.59 Bohr magnetons per cell
**Energy relative to the lowest polymorph listed for this composition**: 183 meV per atom
**Symmetry**: I4/mmm
**Formation energy (no corrections)**: 0.542 eV per atom
**Crystal system**: tetragonal

[14]
VASP calculation (PBE) on an optimized crystal structure of Co2HgCl.

```
Co2HgCl
1.0
0.000 3.178 3.178
3.178 0.000 3.178
3.178 3.178 0.000
Co Hg Cl
2 1 1
Direct
0.250 0.250 0.250
0.750 0.750 0.750
0.500 0.500 0.500
0.000 0.000 0.000
```

Results
**Total magnetization**: 3.17 Bohr magnetons per cell
**Energy relative to the lowest polymorph listed for this composition**: 545 meV per atom
**Symmetry**: Fm-3m
**Formation energy (no corrections)**: 0.772 eV per atom
**Crystal system**: cubic

[15]
VASP calculation (PBE) on an optimized crystal structure of CoHgCl.

```
CoHgCl
1.0
-3.236 -5.996 0.533
0.187 -6.515 -2.056
2.743 5.750 2.474
Cl Hg Co
1 1 1
Direct
0.946 0.946 0.000
0.699 0.699 0.000
0.355 0.355 0.000
```

Results
**Total magnetization**: 2.17 Bohr magnetons per cell
**Energy relative to the lowest polymorph listed for this composition**: 199 meV per atom
**Symmetry**: I4mm
**Formation energy (no corrections)**: 0.186 eV per atom
**Crystal system**: tetragonal

[16]
VASP calculation (PBE) on an optimized crystal structure of Co2HgCl6.

```
Co2HgCl6
1.0
6.119 0.760 1.379
1.614 9.537 0.547
0.832 -0.645 9.631
Cl Co Hg
12 4 2
Direct
0.404 0.010 0.207
0.593 0.582 0.176
0.093 0.176 0.582
0.613 0.262 0.395
0.407 0.418 0.824
0.096 0.793 0.990
0.887 0.605 0.738
0.387 0.738 0.605
0.904 0.207 0.010
0.596 0.990 0.793
0.907 0.824 0.418
0.113 0.395 0.262
0.191 0.641 0.794
0.309 0.206 0.359
0.809 0.359 0.206
0.691 0.794 0.641
0.250 0.214 0.786
0.750 0.786 0.214
```

Results
**Total magnetization**: 12.00 Bohr magnetons per cell
**Symmetry**: C2/c
**Formation energy (no corrections)**: -0.559 eV per atom
**Crystal system**: monoclinic

[17]
VASP calculation (PBE) on an optimized crystal structure of CoHgCl2.

```
CoHgCl2
1.0
4.896 0.000 0.000
2.448 4.240 0.000
2.448 1.413 3.998
Co Cl Hg
1 2 1
Direct
0.500 0.500 0.500
0.250 0.250 0.250
0.000 0.000 0.000
0.750 0.750 0.750
```

Results
**Total magnetization**: 2.54 Bohr magnetons per cell
**Energy relative to the lowest polymorph listed for this composition**: 897 meV per atom
**Symmetry**: F-43m
**Formation energy (no corrections)**: 0.502 eV per atom
**Crystal system**: cubic

[18]
VASP calculation (PBE) on an optimized crystal structure of Co4HgCl.

```
Co4HgCl
1.0
0.000 3.547 3.547
3.547 0.000 3.547
3.547 3.547 0.000
Co Cl Hg
4 1 1
Direct
0.374 0.374 0.374
0.877 0.374 0.374
0.374 0.374 0.877
0.374 0.877 0.374
0.000 0.000 0.000
0.750 0.750 0.750
```

Results
**Total magnetization**: 8.34 Bohr magnetons per cell
**Symmetry**: F-43m
**Formation energy (no corrections)**: 0.627 eV per atom
**Crystal system**: cubic

[19]
VASP calculation (PBE) on an optimized crystal structure of CoHgCl2.

```
CoHgCl2
1.0
6.432 -0.011 0.149
5.620 3.128 0.149
3.019 0.781 5.396
Co Cl Hg
1 2 1
Direct
0.429 0.429 0.376
0.009 0.009 0.092
0.861 0.861 0.659
0.201 0.201 0.373
```

Results
**Total magnetization**: 1.09 Bohr magnetons per cell
**Energy relative to the lowest polymorph listed for this composition**: 105 meV per atom
**Symmetry**: Cm
**Formation energy (no corrections)**: -0.290 eV per atom
**Crystal system**: monoclinic

[20]
VASP calculation (PBE) on an optimized crystal structure of Co2HgCl.

```
Co2HgCl
1.0
-0.576 -0.791 -2.826
3.767 -3.915 0.328
-2.949 -2.723 1.364
Cl Co Hg
1 2 1
Direct
0.000 0.500 0.500
0.000 0.000 0.000
0.500 0.500 0.000
0.500 0.000 0.500
```

Results
**Total magnetization**: 3.56 Bohr magnetons per cell
**Energy relative to the lowest polymorph listed for this composition**: 427 meV per atom
**Symmetry**: Pmmm
**Formation energy (no corrections)**: 0.654 eV per atom
**Crystal system**: orthorhombic

[21]
VASP calculation (PBE) on an optimized crystal structure of CoHgCl2.

```
CoHgCl2
1.0
4.822 0.000 0.000
0.000 4.822 0.000
0.000 0.000 3.586
Co Hg Cl
1 1 2
Direct
0.500 0.000 0.500
0.000 0.500 0.500
0.000 0.000 0.000
0.500 0.500 0.000
```

Results
**Total magnetization**: 2.41 Bohr magnetons per cell
**Energy relative to the lowest polymorph listed for this composition**: 797 meV per atom
**Symmetry**: P4/mmm
**Formation energy (no corrections)**: 0.402 eV per atom
**Crystal system**: tetragonal

[22]
VASP calculation (PBE) on an optimized crystal structure of CoHgCl4.

```
CoHgCl4
1.0
5.947 0.000 0.000
0.000 5.947 0.000
0.000 0.000 10.540
Cl Co Hg
8 2 2
Direct
0.771 0.282 0.132
0.718 0.771 0.868
0.229 0.718 0.132
0.718 0.229 0.632
0.229 0.282 0.368
0.771 0.718 0.368
0.282 0.771 0.632
0.282 0.229 0.868
0.000 0.500 0.250
0.500 0.000 0.750
0.000 0.000 0.000
0.000 0.000 0.500
```

Results
**Total magnetization**: 6.00 Bohr magnetons per cell
**Energy relative to the lowest polymorph listed for this composition**: 0 meV per atom
**Symmetry**: P-42c
**Formation energy (no corrections)**: -0.561 eV per atom
**Crystal system**: tetragonal

[23]
VASP calculation (PBE) on an optimized crystal structure of CoHgCl.

```
CoHgCl
1.0
3.413 0.000 0.000
-1.707 2.956 0.000
0.000 0.000 6.202
Hg Cl Co
1 1 1
Direct
0.667 0.333 0.603
0.000 0.000 0.099
0.333 0.667 0.298
```

Results
**Total magnetization**: 2.01 Bohr magnetons per cell
**Energy relative to the lowest polymorph listed for this composition**: 0 meV per atom
**Symmetry**: P3m1
**Formation energy (no corrections)**: -0.013 eV per atom
**Crystal system**: trigonal

[24]
VASP calculation (PBE) on an optimized crystal structure of CoHgCl2.

```
CoHgCl2
1.0
-2.432 0.826 1.747
-1.527 -2.541 -0.924
3.678 -4.918 7.446
Hg Cl Co
1 2 1
Direct
0.500 0.500 0.750
0.000 0.000 0.097
0.000 0.000 0.403
0.500 0.500 0.250
```

Results
**Total magnetization**: 2.86 Bohr magnetons per cell
**Energy relative to the lowest polymorph listed for this composition**: 272 meV per atom
**Symmetry**: P4/mmm
**Formation energy (no corrections)**: -0.123 eV per atom
**Crystal system**: tetragonal

[25]
VASP calculation (PBE) on an optimized crystal structure of Co2HgCl.

```
Co2HgCl
1.0
-2.825 1.031 0.794
0.608 -1.435 -2.692
-1.657 -7.216 3.472
Hg Cl Co
1 1 2
Direct
0.500 0.500 0.250
0.500 0.500 0.750
0.000 0.000 0.974
0.000 0.000 0.526
```

Results
**Total magnetization**: 3.53 Bohr magnetons per cell
**Energy relative to the lowest polymorph listed for this composition**: 305 meV per atom
**Symmetry**: Cmmm
**Formation energy (no corrections)**: 0.532 eV per atom
**Crystal system**: orthorhombic

[26]
VASP calculation (PBE) on an optimized crystal structure of Co2HgCl.

```
Co2HgCl
1.0
2.950 0.000 0.000
0.000 2.950 0.000
0.000 0.000 7.978
Co Cl Hg
2 1 1
Direct
0.000 0.000 0.028
0.500 0.500 0.198
0.500 0.500 0.839
0.000 0.000 0.435
```

Results
**Total magnetization**: 3.80 Bohr magnetons per cell
**Energy relative to the lowest polymorph listed for this composition**: 21 meV per atom
**Symmetry**: P4mm
**Formation energy (no corrections)**: 0.247 eV per atom
**Crystal system**: tetragonal

[27]
VASP calculation (PBE) on an optimized crystal structure of Co2HgCl.

```
Co2HgCl
1.0
5.213 0.006 0.002
1.405 5.020 -0.002
-2.213 -3.956 2.574
Co Hg Cl
2 1 1
Direct
0.474 0.474 0.000
0.026 0.026 0.000
0.750 0.250 0.500
0.250 0.750 0.500
```

Results
**Total magnetization**: 3.49 Bohr magnetons per cell
**Energy relative to the lowest polymorph listed for this composition**: 328 meV per atom
**Symmetry**: Immm
**Formation energy (no corrections)**: 0.555 eV per atom
**Crystal system**: orthorhombic

[28]
VASP calculation (PBE) on an optimized crystal structure of Co2HgCl.

```
Co2HgCl
1.0
-5.061 0.198 0.057
-4.208 -2.320 1.602
-4.611 1.857 5.571
Co Hg Cl
2 1 1
Direct
0.554 0.554 0.606
0.946 0.946 0.894
0.750 0.750 0.750
0.250 0.250 0.250
```

Results
**Total magnetization**: 3.78 Bohr magnetons per cell
**Energy relative to the lowest polymorph listed for this composition**: 2 meV per atom
**Symmetry**: C2/m
**Formation energy (no corrections)**: 0.229 eV per atom
**Crystal system**: monoclinic

[29]
VASP calculation (PBE) on an optimized crystal structure of Co2HgCl.

```
Co2HgCl
1.0
4.527 0.000 0.000
2.264 3.921 0.000
2.264 1.307 3.697
Cl Hg Co
1 1 2
Direct
0.500 0.500 0.500
0.750 0.750 0.750
0.250 0.250 0.250
0.000 0.000 0.000
```

Results
**Total magnetization**: 2.97 Bohr magnetons per cell
**Energy relative to the lowest polymorph listed for this composition**: 654 meV per atom
**Symmetry**: F-43m
**Formation energy (no corrections)**: 0.881 eV per atom
**Crystal system**: cubic